A relaxed structure of Sr2Pt3, computed with PBE.

total DFT energy (no corrections) = -5.118 eV/atom

a b c (Å): 9.921 9.110 5.636
angles (deg): 80.86 65.03 34.11
Fractional positions:
Pt1 0.449 0.296 0.385
Pt2 0.883 0.117 0.117
Pt3 0.869 0.385 0.296
Sr1 0.434 0.976 0.725
Sr2 0.865 0.725 0.976
Pt4 0.865 0.381 0.801
Sr3 0.274 0.816 0.385
Pt5 0.133 0.367 0.367
Sr4 0.525 0.385 0.816
Pt6 0.954 0.801 0.381